Density functional theory data (GGA-PBE) for an optimized crystal structure of Be2CuNi.

POSCAR file:
```
Be2CuNi
1.0
3.793 0.000 0.000
0.000 3.793 0.000
0.000 0.000 2.597
Be Cu Ni
2 1 1
Direct
0.000 0.500 0.000 Be
0.500 0.000 0.000 Be
0.000 0.000 0.500 Cu
0.500 0.500 0.500 Ni
```

For the formation energy, the calculation gives -27.0 kJ/mol of atoms. As for the space group: No. 123. As for the total energy: -18.4 eV for the cell shown.